# Sr3CaMn2FeO10 PBE+U relaxed
data_Sr3CaMn2FeO10
_space_group_name_H-M_alt 'I 4 m m'
_space_group_IT_number 107
_space_group_name_Hall 'I 4 -2'
_cell_length_a 3.870
_cell_length_b 3.870
_cell_length_c 27.863
_cell_angle_alpha 90.00
_cell_angle_beta 90.00
_cell_angle_gamma 90.00
loop_
_atom_site_label
_atom_site_type_symbol
_atom_site_fract_x
_atom_site_fract_y
_atom_site_fract_z
Sr1 Sr 0.000 0.000 0.000
Sr2 Sr 0.000 0.000 0.133
Sr3 Sr 0.000 0.000 0.859
Ca1 Ca 0.000 0.000 0.729
Mn1 Mn 0.000 0.000 0.287
Mn2 Mn 0.000 0.000 0.572
Fe1 Fe 0.000 0.000 0.430
O1 O 0.000 0.000 0.219
O2 O 0.000 0.000 0.357
O3 O 0.000 0.000 0.501
O4 O 0.000 0.000 0.642
O5 O 0.000 0.500 0.070
O6 O 0.000 0.500 0.287
O7 O 0.000 0.500 0.429
# V: 12.3 Å³ per atom
# Distance to the lowest polymorph of the same formula: 0 meV/atom
# Calculated total energy: -6.65 eV/atom
# Spin magnetization: 10.87 μB/f.u.